Arrangement A

DFT (PBE) results for crystalline Ni4Br5 at its relaxed geometry.

Geometry as POSCAR:
```
Ni4Br5
1.0
-5.227 5.227 1.760
5.227 -5.227 1.760
5.227 5.227 -1.760
Ni Br
4 5
Direct
0.386 0.000 0.386
0.614 0.000 0.614
0.000 0.614 0.614
0.000 0.386 0.386
0.000 0.000 0.000
0.332 0.668 0.000
0.668 0.332 0.000
0.668 0.668 0.336
0.332 0.332 0.664
```

## Properties
- N(E_F): 17.8 states/eV per cell


Arrangement B

DFT (PBE) results for crystalline Ni4Br5 at its relaxed geometry.

Geometry as POSCAR:
```
Ni4Br5
1.0
-2.539 3.018 6.781
-5.144 -1.981 -5.582
-0.444 -6.378 2.672
Ni Br
8 10
Direct
0.000 0.000 0.000
0.000 0.000 0.500
0.000 0.461 0.250
0.539 0.539 0.250
0.461 0.000 0.250
0.000 0.539 0.750
0.461 0.461 0.750
0.539 0.000 0.750
0.000 0.762 0.250
0.238 0.238 0.250
0.762 0.000 0.250
0.000 0.238 0.750
0.762 0.762 0.750
0.238 0.000 0.750
0.667 0.333 0.000
0.333 0.667 0.500
0.333 0.667 0.000
0.667 0.333 0.500
```

## Properties
- N(E_F): 18.9 states/eV per cell


Energy relative to the most stable one, in eV/atom: arrangement A 0.465; arrangement B 0.000